A relaxed structure of PmPr3Dy5, computed with PBE.

Structure (POSCAR):
```
PmPr3Dy5
1.0
-7.129 -6.401 -0.802
-3.030 -2.047 8.893
-10.972 0.808 4.277
Pm Pr Dy
2 6 10
Cartesian
-8.139 -0.859 3.828
-12.991 -6.782 8.540
-15.972 -5.245 9.111
-10.697 -5.300 6.904
0.000 0.000 0.000
-5.486 0.404 2.139
-5.158 -2.395 3.257
-10.434 -2.340 5.464
-9.803 -5.928 3.475
-4.084 -3.167 6.399
-18.827 -6.125 10.713
-7.473 -4.002 4.958
-13.658 -3.639 7.410
-2.304 -1.515 1.655
-7.761 -3.758 8.304
-6.075 -5.281 1.692
-11.328 -1.713 8.894
-13.370 -3.882 4.064
```

Output
* symmetry: C2/m (12)
* total DFT energy (no corrections): -4.173 eV per atom
* total magnetization: 0.0000 μB/atom